Below is a relaxed structure of NaSrAu, with properties calculated at the PBE level.

The density of states at the Fermi level comes out at 1.23 states/eV/cell. The space group is P3m1 (156). The value obtained for the formation energy is -0.37 eV per atom.

Cell lengths 4.230, 4.975, 4.975 Å; angles 120.00, 90.00, 90.00 degrees
Sites, in units of the cell vectors:
Sr1 0.667 0.667 0.333
Au1 0.165 0.000 0.000
Na1 0.167 0.333 0.667